# InGaPd2 | Alexandria via LeMat-Bulk | PBE | relaxed
# Total magnetization ... 0.00 μB per cell
# DOS at the Fermi energy ... 2.03 states/eV per cell
# DFT total energy ... -0.168 hartree per atom
data_InGaPd2
_chemical_formula_sum 'In1 Ga1 Pd2'
_cell_length_a 3.1275
_cell_length_b 3.1275
_cell_length_c 6.7604
_cell_angle_alpha 90.00
_cell_angle_beta 90.00
_cell_angle_gamma 90.00
_symmetry_space_group_name_H-M 'P 1'
_symmetry_Int_Tables_number 1
loop_
_symmetry_equiv_pos_as_xyz
'x,y,z'
loop_
_atom_site_label
_atom_site_type_symbol
_atom_site_fract_x
_atom_site_fract_y
_atom_site_fract_z
_atom_site_occupancy
In1 In 0.0000 0.0000 0.0000 1
Ga1 Ga 0.0000 0.0000 0.5000 1
Pd1 Pd 0.5000 0.5000 0.2795 1
Pd2 Pd 0.5000 0.5000 0.7205 1